No. 1
A relaxed Mg2Cu crystal. Source: OQMD, functional GGA-PBE.

The structure in extended XYZ format:
```
6
Lattice="0.0000 3.8636 3.8636 3.8636 0.0000 3.8636 3.8636 3.8636 0.0000" Properties=species:S:1:pos:R:3 pbc="T T T"
Mg 0.0000 0.0000 0.0000
Mg 1.9318 1.9318 0.0000
Mg 1.9318 0.0000 1.9318
Mg 0.0000 1.9318 1.9318
Cu 2.8977 2.8977 2.8977
Cu 4.8295 4.8295 4.8295
```

DFT total energy   -0.139 Ry/atom

---

No. 2
A relaxed Mg3Cu crystal. Source: OQMD, functional GGA-PBE.

The structure in extended XYZ format:
```
8
Lattice="3.0364 -5.1724 0.0000 3.0364 5.1724 0.0000 0.0000 0.0000 4.8177" Properties=species:S:1:pos:R:3 pbc="T T T"
Mg 3.0364 4.2639 3.6133
Mg 1.5852 1.6101 3.6133
Mg 1.5852 -1.6101 1.2044
Mg 4.4875 1.6101 3.6133
Mg 4.4875 -1.6101 1.2044
Mg 3.0364 -4.2639 1.2044
Cu 3.0364 0.9091 1.2044
Cu 3.0364 -0.9091 3.6133
```

DFT total energy   -0.151 Ry/atom

---

No. 3
A relaxed Mg4Cu3 crystal. Source: OQMD, functional GGA-PBE.

The structure in extended XYZ format:
```
14
Lattice="7.6153 0.0000 0.0000 -3.8076 6.5950 0.0000 0.0000 0.0000 4.5625" Properties=species:S:1:pos:R:3 pbc="T T T"
Mg -0.7635 1.6456 1.1406
Mg -2.0008 6.4335 1.1406
Mg 1.0434 1.4840 3.4219
Mg 0.0000 4.3967 1.1406
Mg 3.8077 2.1983 3.4219
Mg 2.7643 5.1111 1.1406
Mg 5.8084 0.1616 3.4219
Mg 4.5711 4.9495 3.4219
Cu -1.0948 3.1948 3.4219
Cu -0.4935 5.9458 3.4219
Cu 2.2193 2.5455 1.1406
Cu 1.5883 4.0495 3.4219
Cu 4.3011 0.6492 1.1406
Cu 4.9025 3.4003 1.1406
```

Excess energy over the best structure of this formula in the dataset   0.0 meV/atom
DFT total energy   -0.184 Ry/atom